Density functional theory data (GGA-PBE) for Ba2CaAg after structural relaxation.

ΔE_f	-0.01	eV/atom
calculated total energy	-8.7	eV per formula unit
excess energy over the best structure of this formula in the dataset	124	meV per atom

abc: 4.5031 4.5031 11.4808
angles: 78.69 78.69 60.00
Fractional coordinates of all 4 atoms:
Ag (0.6665, 0.6665, 0.0005)
Ba (0.0631, 0.0631, 0.8108)
Ba (0.2700, 0.2700, 0.1900)
Ca (0.5004, 0.5004, 0.4987)

Density functional theory data (GGA-PBE) for TbSc2Bi3 after structural relaxation.

ΔE_f	-0.72	eV/atom
calculated total energy	-33.2	eV per formula unit

abc: 6.1641 8.6665 13.0518
angles: 90.00 90.00 90.00
Fractional coordinates of all 24 atoms:
Sc (0.2510, 0.3745, 0.7434)
Sc (0.7503, 0.6252, 0.9143)
Sc (0.7503, 0.1252, 0.5857)
Sc (0.7490, 0.6255, 0.2566)
Sc (0.2510, 0.8745, 0.7566)
Sc (0.7490, 0.1255, 0.2434)
Sc (0.2497, 0.8748, 0.4143)
Sc (0.2497, 0.3748, 0.0857)
Bi (0.2503, 0.1127, 0.5882)
Bi (0.7497, 0.3635, 0.4125)
Bi (0.2492, 0.1244, 0.2493)
Bi (0.7508, 0.8756, 0.7507)
Bi (0.7497, 0.8635, 0.0875)
Bi (0.7497, 0.3873, 0.0882)
Bi (0.2492, 0.6244, 0.2507)
Bi (0.2503, 0.6127, 0.9118)
Bi (0.2503, 0.6365, 0.5875)
Bi (0.7508, 0.3756, 0.7493)
Bi (0.7497, 0.8873, 0.4118)
Bi (0.2503, 0.1365, 0.9125)
Tb (0.7503, 0.6265, 0.5783)
Tb (0.2497, 0.3735, 0.4217)
Tb (0.7503, 0.1265, 0.9217)
Tb (0.2497, 0.8735, 0.0783)